The following is a DFT calculation (PBE) of Rb2TiSnI6 after structural relaxation.

Properties
Space-group type: Fm-3m
Formation energy from raw total energies, meV per atom: -868

Structure (POSCAR):
```
Rb2TiSnI6
1.0
0.0000 6.0329 6.0329
6.0329 0.0000 6.0329
6.0329 6.0329 0.0000
Rb Ti Sn I
2 1 1 6
direct
0.2500 0.2500 0.2500
0.7500 0.7500 0.7500
0.0000 0.0000 0.0000
0.5000 0.5000 0.5000
0.2397 0.2397 0.7603
0.2397 0.7603 0.2397
0.2397 0.7603 0.7603
0.7603 0.2397 0.2397
0.7603 0.2397 0.7603
0.7603 0.7603 0.2397
```